Record 1
VASP calculation (PBE) on an optimized crystal structure of TbSi4Ni6.

Computed properties:
As for the symmetry: P-6m2. The calculation puts the formation energy without anion corrections at -0.6923 eV/atom. The crystal system is hexagonal.

a b c (Å): 6.623 6.623 3.704
angles (deg): 90.00 90.00 120.00
Fractional coordinates of all 11 atoms:
Tb1 0.000 0.000 0.000
Si1 0.333 0.667 0.000
Si2 0.393 0.197 0.500
Si3 0.803 0.197 0.500
Si4 0.803 0.607 0.500
Ni1 0.204 0.409 0.500
Ni2 0.204 0.796 0.500
Ni3 0.535 0.071 0.000
Ni4 0.535 0.465 0.000
Ni5 0.591 0.796 0.500
Ni6 0.929 0.465 0.000

***

Record 2
VASP calculation (PBE) on an optimized crystal structure of Tb2Si2Ni15.

Computed properties:
As for the symmetry: R-3m. The calculation puts the formation energy without anion corrections at -0.2753 eV/atom. The crystal system is trigonal.

a b c (Å): 6.278 6.278 6.278
angles (deg): 82.42 82.42 82.42
Fractional coordinates of all 19 atoms:
Tb1 0.153 0.153 0.153
Tb2 0.847 0.847 0.847
Si1 0.399 0.399 0.399
Si2 0.601 0.601 0.601
Ni1 0.000 0.500 0.500
Ni2 0.158 0.158 0.649
Ni3 0.158 0.649 0.158
Ni4 0.205 0.500 0.795
Ni5 0.205 0.795 0.500
Ni6 0.351 0.842 0.842
Ni7 0.500 0.000 0.500
Ni8 0.500 0.205 0.795
Ni9 0.500 0.500 0.000
Ni10 0.500 0.795 0.205
Ni11 0.649 0.158 0.158
Ni12 0.795 0.205 0.500
Ni13 0.795 0.500 0.205
Ni14 0.842 0.351 0.842
Ni15 0.842 0.842 0.351

***

Record 3
VASP calculation (PBE) on an optimized crystal structure of TbSi2Ni5.

Computed properties:
As for the symmetry: Immm. The calculation puts the formation energy without anion corrections at -0.6065 eV/atom. The crystal system is orthorhombic.

a b c (Å): 5.896 5.896 5.896
angles (deg): 144.47 112.13 79.02
Fractional coordinates of all 8 atoms:
Tb1 0.000 0.000 0.000
Si1 0.255 0.755 0.500
Si2 0.745 0.245 0.500
Ni1 0.163 0.352 0.812
Ni2 0.460 0.648 0.812
Ni3 0.500 0.000 0.500
Ni4 0.540 0.352 0.188
Ni5 0.837 0.648 0.188

***

Record 4
VASP calculation (PBE) on an optimized crystal structure of Tb2Si7Ni12.

Computed properties:
As for the symmetry: P-6. The calculation puts the formation energy without anion corrections at -0.6817 eV/atom. The crystal system is hexagonal.

a b c (Å): 9.205 9.205 3.703
angles (deg): 90.00 90.00 120.00
Fractional coordinates of all 21 atoms:
Tb1 0.000 0.000 0.000
Tb2 0.333 0.667 0.500
Si1 0.061 0.450 0.000
Si2 0.265 0.231 0.500
Si3 0.389 0.939 0.000
Si4 0.550 0.611 0.000
Si5 0.667 0.333 0.000
Si6 0.769 0.034 0.500
Si7 0.966 0.735 0.500
Ni1 0.040 0.281 0.500
Ni2 0.111 0.722 0.000
Ni3 0.242 0.960 0.500
Ni4 0.278 0.389 0.000
Ni5 0.388 0.185 0.000
Ni6 0.554 0.427 0.500
Ni7 0.573 0.127 0.500
Ni8 0.611 0.889 0.000
Ni9 0.719 0.758 0.500
Ni10 0.797 0.612 0.000
Ni11 0.815 0.203 0.000
Ni12 0.873 0.446 0.500

***

- Among the records above, which one has the highest formation energy without anion corrections?
  Tb2Si2Ni15